[1]
# GGA-PBEsol Ir2AuSe, optimized geometry
data_Ir2AuSe
_cell_length_a 2.787
_cell_length_b 3.606
_cell_length_c 6.460
_cell_angle_alpha 90.00
_cell_angle_beta 90.00
_cell_angle_gamma 90.00
_space_group_name_H-M_alt 'P m m 2'
_space_group_IT_number 25
_space_group_name_Hall 'P 2 -2'
loop_
_atom_site_label
_atom_site_fract_x
_atom_site_fract_y
_atom_site_fract_z
Ir1 0.000 0.000 0.000
Ir2 0.500 0.500 0.225
Au1 0.500 0.500 0.750
Se1 0.000 0.000 0.419
# - Energy relative to the elements, uncorrected: 0.409 eV per atom
# - Total magnetic moment: 0.000 μB/cell



[2]
# GGA-PBEsol ScAg2As, optimized geometry
data_ScAg2As
_cell_length_a 3.0337
_cell_length_b 3.0337
_cell_length_c 27.3812
_cell_angle_alpha 90.00
_cell_angle_beta 90.00
_cell_angle_gamma 120.00
_space_group_name_H-M_alt 'R 3 m'
_space_group_IT_number 160
_space_group_name_Hall 'R 3 -2"'
loop_
_atom_site_label
_atom_site_fract_x
_atom_site_fract_y
_atom_site_fract_z
Sc1 0.0000 0.0000 0.0000
Ag1 0.0000 0.0000 0.5014
Ag2 0.0000 0.0000 0.7522
As1 0.0000 0.0000 0.2530
# - Total magnetic moment: 0.000 μB/cell
# - Calculated formation energy: -0.0789 eV per atom